# 1
DFT (PBE-GGA) results for an optimized crystal structure of BaSiI2.

Cell and atoms, written as POSCAR:
```
BaSiI2
1.0
-2.8736 2.8736 10.3592
2.8736 -2.8736 10.3592
2.8736 2.8736 -10.3592
Ba Si I
2 2 4
direct
0.0000 0.0000 0.0000 Ba
0.7500 0.2500 0.5000 Ba
0.2500 0.7500 0.5000 Si
0.5000 0.5000 0.0000 Si
0.1678 0.6250 0.0428 I
0.3750 0.4178 0.5428 I
0.5822 0.1250 0.9572 I
0.8750 0.8322 0.4572 I
```

Computed properties:
Formation energy without anion corrections, eV per atom: -0.335
Volume, Å³ per cell: 342
Magnetization, μB per cell: 0.0
Space group: I-42d (122)

# 2
DFT (PBE-GGA) results for an optimized crystal structure of NaAcScTl.

Cell and atoms, written as POSCAR:
```
NaAcScTl
1.0
0.0000 3.9267 3.9267
3.9267 0.0000 3.9267
3.9267 3.9267 0.0000
Na Ac Sc Tl
1 1 1 1
direct
0.0000 0.0000 0.0000 Na
0.2500 0.2500 0.2500 Ac
0.7500 0.7500 0.7500 Sc
0.5000 0.5000 0.5000 Tl
```

Computed properties:
Volume, Å³ per cell: 121
E_form, meV/atom: 12.4
Magnetization, μB per cell: 0.0
Space group: F-43m (216)

# 3
DFT (PBE-GGA) results for an optimized crystal structure of AgBSb2.

Cell and atoms, written as POSCAR:
```
AgBSb2
1.0
-3.0218 3.0218 5.1889
3.0218 -3.0218 5.1889
3.0218 3.0218 -5.1889
Ag B Sb
2 2 4
direct
0.0000 0.0000 0.0000 Ag
0.7500 0.2500 0.5000 Ag
0.2500 0.7500 0.5000 B
0.5000 0.5000 0.0000 B
0.1851 0.6250 0.0601 Sb
0.3750 0.4351 0.5601 Sb
0.5649 0.1250 0.9399 Sb
0.8750 0.8149 0.4399 Sb
```

Computed properties:
Formation energy without anion corrections, eV per atom: 0.410
Volume, Å³ per cell: 190
Magnetization, μB per cell: 0.0
Space group: I-42d (122)

# 4
DFT (PBE-GGA) results for an optimized crystal structure of TcAu2.

Cell and atoms, written as POSCAR:
```
TcAu2
1.0
4.8138 0.0000 0.0000
0.0000 4.8138 0.0000
0.0000 0.0000 2.6899
Tc Au
1 2
direct
0.0000 0.0000 0.0000 Tc
0.0000 0.5000 0.5000 Au
0.5000 0.0000 0.5000 Au
```

Computed properties:
Volume, Å³ per cell: 62
E_form, meV/atom: 499.2
Magnetization, μB per cell: 1.2
Space group: P4/mmm (123)